1.
First-principles (SCAN) data for a crystal of ScPb2Br relaxed with PBEsol, as listed in Alexandria via LeMat-Bulk.

polymorph energy (0 for the lowest one)	122	meV/atom
D(E_F)	2.8	states/eV/cell
formation energy (no corrections)	-0.37	eV per atom
uncorrected energy	-46.68	eV per atom

Unit cell a=3.582 b=5.429 c=5.580 alpha=90.00 beta=90.00 gamma=93.05
Site moments in Bohr magnetons follow the coordinates.
Fractional coordinates of all 4 atoms:
Br  0.500  0.000  0.500  0.00
Pb  0.206  0.265  0.000  0.01
Pb  0.794  0.735  0.000  0.01
Sc  0.500  0.500  0.500  0.23

2.
First-principles (SCAN) data for a crystal of ScPb2Br relaxed with PBEsol, as listed in Alexandria via LeMat-Bulk.

polymorph energy (0 for the lowest one)	202	meV/atom
D(E_F)	1.7	states/eV/cell
formation energy (no corrections)	-0.29	eV per atom
uncorrected energy	-46.60	eV per atom

Unit cell a=5.288 b=5.288 c=5.288 alpha=60.00 beta=60.00 gamma=60.00
Fractional coordinates of all 4 atoms:
Br  0.500  0.500  0.500
Pb  0.000  0.000  0.000
Pb  0.750  0.750  0.750
Sc  0.250  0.250  0.250